1.
Here is a relaxed KSi2Pb crystal from Alexandria via LeMat-Bulk. Energies are from GGA-PBE.

Lattice parameters (Å, degrees): 9.300 9.300 9.300 23.65 23.65 23.65
Fractional positions:
Si (0.485, 0.485, 0.485)
Si (0.015, 0.015, 0.015)
Pb (0.750, 0.750, 0.750)
K (0.250, 0.250, 0.250)

Density (g cm⁻³): 4.416
E_tot (eV per atom): -3.29
SG: R-3m



2.
Here is a relaxed U4ZnRh12 crystal from Alexandria via LeMat-Bulk. Energies are from GGA-PBE.

Lattice parameters (Å, degrees): 7.137 7.137 7.137 109.47 109.47 109.47
Fractional positions:
U (0.500, 0.500, 0.500)
U (0.500, 0.000, 0.000)
U (0.000, 0.500, 0.000)
U (0.000, 0.000, 0.500)
Rh (0.000, 0.286, 0.286)
Rh (0.250, 0.750, 0.500)
Rh (0.714, 0.714, 0.000)
Rh (0.000, 0.714, 0.714)
Rh (0.750, 0.250, 0.500)
Rh (0.500, 0.250, 0.750)
Rh (0.250, 0.500, 0.750)
Rh (0.500, 0.750, 0.250)
Rh (0.750, 0.500, 0.250)
Rh (0.714, 0.000, 0.714)
Rh (0.286, 0.286, 0.000)
Rh (0.286, 0.000, 0.286)
Zn (0.000, 0.000, 0.000)

Density (g cm⁻³): 13.364
E_tot (eV per atom): -8.43
SG: Im-3m
Formation enthalpy at 0 K (eV/atom): -0.50



3.
Here is a relaxed Rb3Sn2Sb4 crystal from Alexandria via LeMat-Bulk. Energies are from GGA-PBE.

Lattice parameters (Å, degrees): 5.230 8.199 9.971 114.54 105.24 89.99
Fractional positions:
Rb (0.000, 0.000, 0.000)
Rb (0.137, 0.566, 0.273)
Rb (0.863, 0.434, 0.727)
Sb (0.207, 0.164, 0.415)
Sb (0.491, 0.318, 0.983)
Sb (0.509, 0.682, 0.017)
Sb (0.793, 0.836, 0.585)
Sn (0.330, 0.046, 0.660)
Sn (0.670, 0.954, 0.340)

Density (g cm⁻³): 4.374
E_tot (eV per atom): -3.31
SG: P-1
Energy above the lowest structure with this stoichiometry (meV per atom): 0.0



4.
Here is a relaxed DyIn2Cl8 crystal from Alexandria via LeMat-Bulk. Energies are from GGA-PBE.

Lattice parameters (Å, degrees): 6.841 9.184 9.184 45.46 93.75 93.75
Fractional positions:
Dy (0.000, 0.000, 0.000)
In (0.549, 0.849, 0.849)
In (0.451, 0.151, 0.151)
Cl (0.253, 0.821, 0.313)
Cl (0.747, 0.179, 0.687)
Cl (0.253, 0.313, 0.821)
Cl (0.818, 0.135, 0.135)
Cl (0.387, 0.288, 0.288)
Cl (0.747, 0.687, 0.179)
Cl (0.182, 0.865, 0.865)
Cl (0.613, 0.712, 0.712)

Density (g cm⁻³): 2.735
E_tot (eV per atom): -3.61
SG: C2/m



5.
Here is a relaxed BaRe2OsSe crystal from Alexandria via LeMat-Bulk. Energies are from GGA-PBE.

Lattice parameters (Å, degrees): 4.746 6.532 4.746 90.00 90.00 90.00
Fractional positions:
Ba (0.000, 0.500, 0.000)
Se (0.500, 0.500, 0.500)
Re (0.500, 0.000, 0.000)
Re (0.000, 0.000, 0.500)
Os (0.000, 0.000, 0.000)

Density (g cm⁻³): 8.790
E_tot (eV per atom): -6.95
SG: P4/mmm



6.
Here is a relaxed Tb6Nd3Er2Zr crystal from Alexandria via LeMat-Bulk. Energies are from GGA-PBE.

Lattice parameters (Å, degrees): 6.140 6.140 11.741 94.97 94.97 119.92
Fractional positions:
Nd (0.500, 0.500, 0.500)
Nd (0.834, 0.166, 0.500)
Nd (0.166, 0.834, 0.500)
Zr (0.000, 0.000, 0.000)
Tb (0.754, 0.754, 0.240)
Tb (0.246, 0.246, 0.760)
Tb (0.407, 0.080, 0.241)
Tb (0.080, 0.407, 0.241)
Tb (0.920, 0.593, 0.759)
Tb (0.593, 0.920, 0.759)
Er (0.667, 0.333, 0.000)
Er (0.333, 0.667, 0.000)

Density (g cm⁻³): 7.963
E_tot (eV per atom): -4.94
SG: C2/m
Formation enthalpy at 0 K (eV/atom): 0.04



7.
Here is a relaxed Dy2Ga3 crystal from Alexandria via LeMat-Bulk. Energies are from GGA-PBE.

Lattice parameters (Å, degrees): 4.463 6.985 6.985 90.00 90.00 90.00
Fractional positions:
Ga (0.000, 0.500, 0.500)
Ga (0.000, 0.370, 0.870)
Ga (0.000, 0.130, 0.370)
Ga (0.000, 0.630, 0.130)
Ga (0.000, 0.870, 0.630)
Ga (0.000, 0.000, 0.000)
Dy (0.500, 0.172, 0.672)
Dy (0.500, 0.328, 0.172)
Dy (0.500, 0.828, 0.328)
Dy (0.500, 0.672, 0.828)

Density (g cm⁻³): 8.147
E_tot (eV per atom): -4.28
SG: P4/mbm
Formation enthalpy at 0 K (eV/atom): -0.63



8.
Here is a relaxed CsDyHg2F8 crystal from Alexandria via LeMat-Bulk. Energies are from GGA-PBE.

Lattice parameters (Å, degrees): 5.051 5.555 8.645 93.88 88.00 90.64
Fractional positions:
Cs (0.000, 0.000, 0.500)
F (0.125, 0.760, 0.170)
F (0.523, 0.726, 0.422)
F (0.172, 0.781, 0.803)
F (0.828, 0.219, 0.197)
F (0.477, 0.274, 0.578)
F (0.649, 0.746, 0.975)
F (0.875, 0.240, 0.830)
F (0.351, 0.254, 0.025)
Hg (0.514, 0.500, 0.778)
Hg (0.486, 0.500, 0.222)
Dy (0.000, 0.000, 0.000)

Density (g cm⁻³): 5.827
E_tot (eV per atom): -4.26
SG: P-1



9.
Here is a relaxed CdFeIr2 crystal from Alexandria via LeMat-Bulk. Energies are from GGA-PBE.

Lattice parameters (Å, degrees): 4.749 4.749 4.749 130.12 130.12 73.22
Fractional positions:
Fe (0.250, 0.750, 0.500)
Ir (0.000, 0.000, 0.000)
Ir (0.500, 0.500, 0.000)
Cd (0.750, 0.250, 0.500)

Density (g cm⁻³): 15.008
E_tot (eV per atom): -6.54
SG: I4/mmm
Formation enthalpy at 0 K (eV/atom): 0.23



10.
Here is a relaxed Tb4PmAl3 crystal from Alexandria via LeMat-Bulk. Energies are from GGA-PBE.

Lattice parameters (Å, degrees): 3.400 8.561 8.776 119.19 101.17 90.00
Fractional positions:
Al (0.816, 0.816, 0.632)
Al (0.000, 0.500, 0.000)
Al (0.184, 0.184, 0.368)
Tb (0.360, 0.164, 0.719)
Tb (0.640, 0.445, 0.281)
Tb (0.640, 0.836, 0.281)
Tb (0.360, 0.555, 0.719)
Pm (0.500, 0.000, 0.000)

Density (g cm⁻³): 6.579
E_tot (eV per atom): -4.45
SG: Immm
Formation enthalpy at 0 K (eV/atom): -0.13



11.
Here is a relaxed CsTlGaBi2 crystal from Alexandria via LeMat-Bulk. Energies are from GGA-PBE.

Lattice parameters (Å, degrees): 6.446 6.447 6.446 90.00 90.00 90.00
Fractional positions:
Bi (0.000, 0.000, 0.500)
Bi (0.500, 0.000, 0.000)
Cs (0.000, 0.000, 0.000)
Ga (0.500, 0.500, 0.500)
Tl (0.000, 0.500, 0.000)

Density (g cm⁻³): 5.114
E_tot (eV per atom): -1.75
SG: P4/mmm
Formation enthalpy at 0 K (eV/atom): 1.05
Energy above the lowest structure with this stoichiometry (meV per atom): 1221.0



12.
Here is a relaxed Cs2AcAl2S6 crystal from Alexandria via LeMat-Bulk. Energies are from GGA-PBE.

Lattice parameters (Å, degrees): 7.506 7.506 9.188 65.89 65.89 60.00
Fractional positions:
Al (0.412, 0.412, 0.764)
Al (0.588, 0.588, 0.236)
S (0.749, 0.250, 0.751)
S (0.250, 0.749, 0.751)
S (0.251, 0.750, 0.249)
S (0.750, 0.251, 0.249)
S (0.750, 0.750, 0.249)
S (0.250, 0.250, 0.751)
Cs (0.791, 0.791, 0.626)
Cs (0.209, 0.209, 0.374)
Ac (0.000, 0.000, 0.000)

Density (g cm⁻³): 3.105
E_tot (eV per atom): -4.65
SG: R-3m



13.
Here is a relaxed Fe3Ge crystal from Alexandria via LeMat-Bulk. Energies are from GGA-PBE.

Lattice parameters (Å, degrees): 3.663 3.663 4.412 114.53 114.53 90.00
Fractional positions:
Ge (0.000, 0.000, 0.000)
Fe (0.250, 0.750, 0.500)
Fe (0.750, 0.250, 0.500)
Fe (0.500, 0.500, 0.000)

Density (g cm⁻³): 8.322
E_tot (eV per atom): -7.58
SG: I4/mmm
Formation enthalpy at 0 K (eV/atom): -0.08



14.
Here is a relaxed BeIr2Os crystal from Alexandria via LeMat-Bulk. Energies are from GGA-PBE.

Lattice parameters (Å, degrees): 2.738 3.709 5.321 90.00 90.00 90.00
Fractional positions:
Ir (0.000, 0.000, 0.962)
Ir (0.500, 0.500, 0.272)
Be (0.500, 0.500, 0.772)
Os (0.000, 0.000, 0.494)

Density (g cm⁻³): 17.936
E_tot (eV per atom): -8.14
SG: Pmm2
Formation enthalpy at 0 K (eV/atom): 0.02



15.
Here is a relaxed LiB2Rh2 crystal from Alexandria via LeMat-Bulk. Energies are from GGA-PBE.

Lattice parameters (Å, degrees): 2.942 2.942 6.515 76.95 76.95 90.00
Fractional positions:
Li (0.000, 0.000, 0.000)
B (0.250, 0.750, 0.500)
B (0.750, 0.250, 0.500)
Rh (0.376, 0.376, 0.249)
Rh (0.624, 0.624, 0.751)

Density (g cm⁻³): 7.281
E_tot (eV per atom): -6.18
SG: I4/mmm
Formation enthalpy at 0 K (eV/atom): -0.19
Energy above the lowest structure with this stoichiometry (meV per atom): 170.0



16.
Here is a relaxed CePdPb crystal from Alexandria via LeMat-Bulk. Energies are from GGA-PBE.

Lattice parameters (Å, degrees): 3.644 4.833 4.833 120.00 90.00 90.00
Fractional positions:
Ce (0.667, 0.667, 0.333)
Pd (0.167, 0.333, 0.667)
Pb (0.167, 0.000, 0.000)

Density (g cm⁻³): 10.220
E_tot (eV per atom): -5.54
SG: P-6m2
Formation enthalpy at 0 K (eV/atom): -0.59



17.
Here is a relaxed HfPaSn crystal from Alexandria via LeMat-Bulk. Energies are from GGA-PBE.

Lattice parameters (Å, degrees): 4.427 4.582 7.447 107.92 90.00 90.00
Fractional positions:
Sn (0.500, 0.852, 0.703)
Sn (0.500, 0.148, 0.297)
Pa (0.000, 0.671, 0.343)
Pa (0.000, 0.329, 0.657)
Hf (0.500, 0.500, 0.000)
Hf (0.000, 0.000, 0.000)

Density (g cm⁻³): 12.206
E_tot (eV per atom): -8.04
SG: Cmmm
Formation enthalpy at 0 K (eV/atom): -0.22
Energy above the lowest structure with this stoichiometry (meV per atom): 0.0



18.
Here is a relaxed TbCd2Au crystal from Alexandria via LeMat-Bulk. Energies are from GGA-PBE.

Lattice parameters (Å, degrees): 4.972 4.972 4.972 60.00 60.00 60.00
Fractional positions:
Cd (0.750, 0.750, 0.750)
Cd (0.250, 0.250, 0.250)
Au (0.500, 0.500, 0.500)
Tb (0.000, 0.000, 0.000)

Density (g cm⁻³): 11.097
E_tot (eV per atom): -2.80
SG: Fm-3m
Formation enthalpy at 0 K (eV/atom): -0.37



19.
Here is a relaxed TaCdP crystal from Alexandria via LeMat-Bulk. Energies are from GGA-PBE.

Lattice parameters (Å, degrees): 8.427 3.378 8.804 90.00 116.71 90.00
Fractional positions:
Cd (0.518, 0.000, 0.943)
Cd (0.518, 0.500, 0.443)
Cd (0.338, 0.000, 0.595)
Cd (0.338, 0.500, 0.095)
P (0.764, 0.500, 0.173)
P (0.050, 0.000, 0.074)
P (0.764, 0.000, 0.673)
P (0.050, 0.500, 0.574)
Ta (0.090, 0.500, 0.303)
Ta (0.813, 0.000, 0.402)
Ta (0.090, 0.000, 0.803)
Ta (0.813, 0.500, 0.902)

Density (g cm⁻³): 9.624
E_tot (eV per atom): -6.30
SG: Cm
Formation enthalpy at 0 K (eV/atom): -0.24
Energy above the lowest structure with this stoichiometry (meV per atom): 129.0



20.
Here is a relaxed Sr4CoSe crystal from Alexandria via LeMat-Bulk. Energies are from GGA-PBE.

Lattice parameters (Å, degrees): 6.961 6.961 6.961 60.00 60.00 60.00
Fractional positions:
Co (0.750, 0.750, 0.750)
Sr (0.375, 0.874, 0.375)
Sr (0.375, 0.375, 0.375)
Sr (0.874, 0.375, 0.375)
Sr (0.375, 0.375, 0.874)
Se (0.000, 0.000, 0.000)

Density (g cm⁻³): 3.401
E_tot (eV per atom): -2.24
SG: F-43m



21.
Here is a relaxed MgCoRu2C crystal from Alexandria via LeMat-Bulk. Energies are from GGA-PBE.

Lattice parameters (Å, degrees): 4.065 4.065 3.785 90.00 90.00 90.00
Fractional positions:
Mg (0.500, 0.500, 0.500)
Ru (0.000, 0.500, 0.000)
Ru (0.500, 0.000, 0.000)
C (0.000, 0.000, 0.000)
Co (0.000, 0.000, 0.500)

Density (g cm⁻³): 7.896
E_tot (eV per atom): -7.27
SG: P4/mmm
Formation enthalpy at 0 K (eV/atom): 0.02



22.
Here is a relaxed Mo4C3 crystal from Alexandria via LeMat-Bulk. Energies are from GGA-PBE.

Lattice parameters (Å, degrees): 10.047 10.047 10.047 17.52 17.52 17.52
Fractional positions:
C (0.744, 0.744, 0.744)
C (0.500, 0.500, 0.500)
C (0.256, 0.256, 0.256)
Mo (0.374, 0.374, 0.374)
Mo (0.626, 0.626, 0.626)
Mo (0.877, 0.877, 0.877)
Mo (0.123, 0.123, 0.123)

Density (g cm⁻³): 8.688
E_tot (eV per atom): -10.08
SG: R-3m
Formation enthalpy at 0 K (eV/atom): 0.07



23.
Here is a relaxed Ba2TlCu crystal from Alexandria via LeMat-Bulk. Energies are from GGA-PBE.

Lattice parameters (Å, degrees): 4.432 8.879 7.027 37.65 90.00 90.00
Fractional positions:
Cu (0.500, 0.500, 0.500)
Tl (0.000, 0.000, 0.500)
Ba (0.000, 0.000, 0.000)
Ba (0.500, 0.500, 0.000)

Density (g cm⁻³): 5.334
E_tot (eV per atom): -2.57
SG: Pmmm
Formation enthalpy at 0 K (eV/atom): 0.01



24.
Here is a relaxed Y4Fe3 crystal from Alexandria via LeMat-Bulk. Energies are from GGA-PBE.

Lattice parameters (Å, degrees): 5.303 5.303 6.179 90.00 90.00 120.00
Fractional positions:
Y (0.000, 0.000, 0.760)
Y (0.000, 0.000, 0.240)
Y (0.667, 0.333, 0.500)
Y (0.333, 0.667, 0.500)
Fe (0.500, 0.500, 0.000)
Fe (0.500, 0.000, 0.000)
Fe (0.000, 0.500, 0.000)

Density (g cm⁻³): 5.773
E_tot (eV per atom): -7.05
SG: P6/mmm
Formation enthalpy at 0 K (eV/atom): 0.27



25.
Here is a relaxed AlPtN2F crystal from Alexandria via LeMat-Bulk. Energies are from GGA-PBE.

Lattice parameters (Å, degrees): 3.725 3.725 6.500 90.00 90.00 90.00
Fractional positions:
N (0.000, 0.500, 0.000)
N (0.500, 0.000, 0.000)
F (0.000, 0.000, 0.500)
Al (0.500, 0.500, 0.500)
Pt (0.000, 0.000, 0.000)

Density (g cm⁻³): 4.954
E_tot (eV per atom): -5.04
SG: P4/mmm
Energy above the lowest structure with this stoichiometry (meV per atom): 536.3